A plane-wave DFT calculation with GGA-PBE was carried out for CuTeRh2 after structural relaxation.

Unit cell a=5.728 b=5.728 c=6.879 alpha=65.39 beta=65.39 gamma=90.00
Element x y z (fractional)
Te1 0.000 0.000 0.000
Te2 0.750 0.250 0.500
Rh1 0.612 0.125 0.250
Rh2 0.138 0.625 0.250
Rh3 0.375 0.388 0.750
Rh4 0.875 0.862 0.750
Cu1 0.500 0.500 0.000
Cu2 0.250 0.750 0.500

D(E_F), states/eV/cell: 8.12
Formation energy from raw total energies, eV per atom: 0.5268

A plane-wave DFT calculation with GGA-PBE was carried out for MnFeAu2 after structural relaxation.

Unit cell a=2.849 b=2.849 c=7.758 alpha=90.00 beta=90.00 gamma=90.00
Each line ends with the local moment (μB).
Element x y z (fractional)
Au1 0.000 0.000 0.982  0.04
Au2 0.500 0.500 0.274  0.04
Fe1 0.000 0.000 0.512  2.88
Mn1 0.500 0.500 0.732  3.52

ΔE_f, meV per atom: 93
D(E_F), states/eV/cell: 1.50